1.
A relaxed ErPuNiHg crystal. Source: Alexandria via LeMat-Bulk, functional GGA-PBE.

It has space group F-43m (No. 216), with a = 7.151 Å, b = 7.151 Å, c = 7.151 Å, α = 90.00°, β = 90.00° and γ = 90.00°. Symmetry generates all atoms from Er at (0.000, 0.000, 0.000), Pu at (0.000, 0.000, 0.500), Ni at (0.250, 0.250, 0.750) and Hg at (0.250, 0.250, 0.250).

For the energy of formation from the pure elements, the calculation gives -123.4 meV per atom. For the total moment, the calculation gives 5.5 μB per formula unit. For the final energy, the calculation gives -0.2340 hartree per atom.


2.
A relaxed TbErNiHg crystal. Source: Alexandria via LeMat-Bulk, functional GGA-PBE.

It has space group F-43m (No. 216), with a = 7.121 Å, b = 7.121 Å, c = 7.121 Å, α = 90.00°, β = 90.00° and γ = 90.00°. Symmetry generates all atoms from Tb at (0.000, 0.000, 0.000), Er at (0.000, 0.000, 0.500), Ni at (0.250, 0.250, 0.750) and Hg at (0.250, 0.250, 0.250).

For the energy of formation from the pure elements, the calculation gives -364.0 meV per atom. For the total moment, the calculation gives 0.0 μB per formula unit. For the final energy, the calculation gives -0.1537 hartree per atom.


3.
A relaxed ErTmNiHg crystal. Source: Alexandria via LeMat-Bulk, functional GGA-PBE.

It has space group F-43m (No. 216), with a = 7.057 Å, b = 7.057 Å, c = 7.057 Å, α = 90.00°, β = 90.00° and γ = 90.00°. Symmetry generates all atoms from Er at (0.000, 0.000, 0.000), Tm at (0.000, 0.000, 0.500), Ni at (0.250, 0.250, 0.750) and Hg at (0.250, 0.250, 0.250).

For the energy of formation from the pure elements, the calculation gives -384.4 meV per atom. For the total moment, the calculation gives 0.0 μB per formula unit. For the final energy, the calculation gives -0.1530 hartree per atom.


4.
A relaxed YErNiHg crystal. Source: Alexandria via LeMat-Bulk, functional GGA-PBE.

It has space group F-43m (No. 216), with a = 7.118 Å, b = 7.118 Å, c = 7.118 Å, α = 90.00°, β = 90.00° and γ = 90.00°. Symmetry generates all atoms from Y at (0.000, 0.000, 0.000), Er at (0.000, 0.000, 0.500), Ni at (0.250, 0.250, 0.750) and Hg at (0.250, 0.250, 0.250).

For the energy of formation from the pure elements, the calculation gives -370.4 meV per atom. For the total moment, the calculation gives 0.0 μB per formula unit. For the final energy, the calculation gives -0.1708 hartree per atom.


Which formula does entry 4 have?
YErNiHg


Which of these has the highest energy of formation from the pure elements?
ErPuNiHg


Which formula does entry 1 have?
ErPuNiHg


What did the fourth record say?
A relaxed YErNiHg crystal. Source: Alexandria via LeMat-Bulk, functional GGA-PBE.

It has space group F-43m (No. 216), with a = 7.118 Å, b = 7.118 Å, c = 7.118 Å, α = 90.00°, β = 90.00° and γ = 90.00°. Symmetry generates all atoms from Y at (0.000, 0.000, 0.000), Er at (0.000, 0.000, 0.500), Ni at (0.250, 0.250, 0.750) and Hg at (0.250, 0.250, 0.250).

For the energy of formation from the pure elements, the calculation gives -370.4 meV per atom. For the total moment, the calculation gives 0.0 μB per formula unit. For the final energy, the calculation gives -0.1708 hartree per atom.